A relaxed CeEr crystal. Source: the Alexandria database, functional PBE-GGA.

Cell lengths 16.710, 16.710, 16.710 Å; angles 12.04, 12.04, 12.04 degrees
Atoms (fractional coordinates):
Ce  0.000  0.000  0.000
Ce  0.113  0.113  0.113
Ce  0.615  0.615  0.615
Er  0.226  0.226  0.226
Er  0.502  0.502  0.502
Er  0.724  0.724  0.724

Properties
- formation enthalpy at 0 K (meV per atom) = 57
- relative energy among the computed polymorphs (meV per atom) = 0
- total magnetic moment (μB per formula unit) = 0.3

---

A relaxed CeEr crystal. Source: the Alexandria database, functional PBE-GGA.

Cell lengths 3.472, 3.472, 5.751 Å; angles 90.00, 90.00, 120.00 degrees
Atoms (fractional coordinates):
Ce  0.000  0.000  0.000
Er  0.667  0.333  0.500

Properties
- formation enthalpy at 0 K (meV per atom) = 104
- relative energy among the computed polymorphs (meV per atom) = 47
- total magnetic moment (μB per formula unit) = 0.9